Computed, not measured: an optimized crystal structure of InCoSn2Hg at the GGA-PBE level of DFT.

The energy above the most stable polymorph in this dataset is 0.386 eV/f.u. The formation energy is 0.10 eV per atom. As for the spin magnetization: 0.000 μB per atom.

a b c (Å): 4.901 4.901 5.176
angles (deg): 90.00 90.00 90.00
Element x y z (fractional)
In 0.000 0.000 0.000
Co 0.500 0.500 0.500
Sn 0.000 0.500 0.500
Sn 0.500 0.000 0.500
Hg 0.500 0.500 0.000